1.
SrLiHoO3 (GGA-PBE, optimized geometry); magnetization = 0.0 Bohr magnetons per cell; formation energy (no corrections) = -2838 meV per atom; calculated total energy = -6.679 eV/atom; DOS at the Fermi energy = 0.000 states/eV/atom
1.0
1.713 -5.532 0.000
1.713 5.532 0.000
0.000 0.000 8.726
Sr Li Ho O
2 2 2 6
Cartesian
1.713 2.820 6.544
1.713 -2.820 2.181
1.713 5.256 2.181
1.713 -5.256 6.544
1.713 0.000 0.000
1.713 0.000 4.363
1.713 4.168 0.648
1.713 4.168 3.715
1.713 0.766 2.181
1.713 -0.766 6.544
1.713 -4.168 5.011
1.713 -4.168 8.078



2.
LiHo2TaO6 (GGA-PBE, optimized geometry); magnetization = 0.0 Bohr magnetons per cell; formation energy (no corrections) = -3138 meV per atom; calculated total energy = -8.406 eV/atom; DOS at the Fermi energy = 0.000 states/eV/atom
1.0
2.775 1.602 5.001
-2.775 1.602 5.001
0.000 -3.204 5.001
Li Ho Ta O
1 2 1 6
Cartesian
0.000 0.000 0.000
0.000 0.000 3.821
0.000 0.000 11.337
0.000 0.000 6.908
-1.560 0.046 5.513
-0.976 -1.417 7.822
0.740 -1.374 5.513
-0.739 1.554 7.822
0.820 1.328 5.513
1.716 -0.137 7.822



3.
Li3Ho3Te2O12 (GGA-PBE, optimized geometry); magnetization = 0.0 Bohr magnetons per cell; formation energy (no corrections) = -2355 meV per atom; calculated total energy = -6.618 eV/atom; DOS at the Fermi energy = 0.000 states/eV/atom
1.0
-6.188 6.188 6.188
6.188 -6.188 6.188
6.188 6.188 -6.188
Li Ho Te O
12 12 8 48
Cartesian
9.282 1.547 0.000
6.188 -3.094 4.641
4.641 6.188 -3.094
4.641 0.000 3.094
3.094 4.641 0.000
6.188 3.094 1.547
0.000 3.094 4.641
3.094 1.547 6.188
1.547 6.188 3.094
1.547 0.000 9.282
0.000 9.282 1.547
-3.094 4.641 6.188
3.094 1.547 0.000
6.188 3.094 -1.547
1.547 0.000 3.094
7.735 0.000 3.094
0.000 3.094 1.547
3.094 -1.547 6.188
3.094 7.735 0.000
6.188 3.094 4.641
-1.547 6.188 3.094
4.641 6.188 3.094
0.000 3.094 7.735
3.094 4.641 6.188
0.000 0.000 0.000
3.094 3.094 -3.094
3.094 -3.094 3.094
6.188 0.000 0.000
-3.094 3.094 3.094
0.000 6.188 0.000
0.000 0.000 6.188
3.094 3.094 3.094
1.814 -0.315 0.662
7.468 3.756 -3.409
8.002 0.315 0.662
7.468 -2.431 3.409
5.873 -0.662 1.814
9.596 -1.280 2.431
0.662 1.814 -0.315
8.619 2.779 -1.280
3.756 3.409 -1.280
5.525 1.814 0.315
-0.315 0.662 1.814
3.409 -1.280 3.756
5.873 5.525 -1.814
3.409 1.280 2.431
3.756 -3.409 7.468
5.525 -1.814 5.873
2.431 3.409 1.280
6.850 4.374 0.315
3.409 7.468 -2.431
5.873 0.662 4.374
1.814 5.873 -0.662
7.468 2.431 2.779
1.280 2.431 3.409
1.814 0.315 5.525
4.374 5.873 0.662
4.908 3.756 2.779
-1.280 3.756 3.409
4.374 0.315 6.850
0.315 5.525 1.814
2.779 -1.280 8.619
-0.662 1.814 5.873
3.756 2.779 4.908
0.662 8.002 0.315
2.431 9.596 -1.280
2.779 4.908 3.756
0.315 0.662 8.002
2.779 7.468 2.431
6.503 5.525 4.374
0.662 4.374 5.873
2.431 2.779 7.468
-2.431 3.409 7.468
5.525 4.374 6.503
-3.409 7.468 3.756
0.315 6.850 4.374
-1.280 8.619 2.779
-1.814 5.873 5.525
-1.280 2.431 9.596
4.374 6.503 5.525



4.
LiHo2TeO6 (GGA-PBE, optimized geometry); magnetization = 0.6 Bohr magnetons per cell; formation energy (no corrections) = -2400 meV per atom; calculated total energy = -6.796 eV/atom; DOS at the Fermi energy = 0.386 states/eV/atom
1.0
2.814 1.625 5.037
-2.814 1.625 5.037
0.000 -3.250 5.037
Li Ho Te O
1 2 1 6
Cartesian
0.000 0.000 0.000
0.000 0.000 3.866
0.000 0.000 11.512
0.000 0.000 6.979
-1.587 0.039 5.605
-1.039 -1.503 7.964
0.759 -1.394 5.605
-0.782 1.651 7.964
0.827 1.355 5.605
1.821 -0.148 7.964



5.
Li2HoTeO4 (GGA-PBE, optimized geometry); magnetization = 0.0 Bohr magnetons per cell; formation energy (no corrections) = -1894 meV per atom; calculated total energy = -5.817 eV/atom; DOS at the Fermi energy = 0.401 states/eV/atom
1.0
-2.343 2.343 4.630
2.343 -2.343 4.630
2.343 2.343 -4.630
Li Ho Te O
2 1 1 4
Cartesian
0.000 0.000 0.000
0.000 2.343 2.315
2.343 0.000 2.315
0.000 0.000 4.630
2.343 0.000 0.056
0.000 0.000 2.358
2.343 0.000 4.574
0.000 0.000 6.902



6.
Li2HoTmO4 (GGA-PBE, optimized geometry); magnetization = 0.0 Bohr magnetons per cell; formation energy (no corrections) = -2902 meV per atom; calculated total energy = -6.990 eV/atom; DOS at the Fermi energy = 0.000 states/eV/atom
1.0
5.400 0.000 0.000
0.000 3.332 0.000
-2.062 0.000 5.393
Li Ho Tm O
2 1 1 4
Cartesian
0.000 0.000 0.000
-1.031 1.666 2.697
1.669 0.000 2.697
2.700 1.666 0.000
0.913 1.666 1.361
-0.126 0.000 4.086
3.464 0.000 1.307
2.425 1.666 4.033



7.
LiHo2UO6 (GGA-PBE, optimized geometry); magnetization = 1.0 Bohr magnetons per cell; formation energy (no corrections) = -3193 meV per atom; calculated total energy = -8.403 eV/atom
1.0
2.874 1.659 5.023
-2.874 1.659 5.023
0.000 -3.318 5.023
Li Ho U O
1 2 1 6
Cartesian
0.000 0.000 0.000
0.000 0.000 4.062
0.000 0.000 11.697
0.000 0.000 7.236
-1.628 -0.016 5.801
-1.095 -1.599 8.183
0.828 -1.402 5.801
-0.838 1.748 8.183
0.800 1.418 5.801
1.932 -0.148 8.183